VASP calculation (GGA-PBE) on a relaxed structure of Nb2Ga4Cu.

Cell: 7.241 7.241 7.241 Å, 142.87 142.87 53.52°
Positions (direct):
1 Nb 0.108 0.108 0.000
2 Nb 0.892 0.892 0.000
3 Ga 0.000 0.500 0.500
4 Ga 0.314 0.314 0.000
5 Ga 0.500 0.000 0.500
6 Ga 0.686 0.686 0.000
7 Cu 0.500 0.500 0.000

energy of formation = 0.370 eV/atom
energy = -4.822 eV per atom
ρ = 6.4 Mg/m³
D(E_F) = 4.06 states/eV/cell
crystal system = tetragonal
magnetic moment = 0.00 μB/cell

***

VASP calculation (GGA-PBE) on a relaxed structure of NbGaCu.

Cell: 7.212 7.212 7.212 Å, 150.39 150.39 42.37°
Positions (direct):
1 Nb 0.175 0.175 0.000
2 Nb 0.825 0.825 0.000
3 Ga 0.373 0.373 0.000
4 Ga 0.627 0.627 0.000
5 Cu 0.000 0.500 0.500
6 Cu 0.500 0.000 0.500

energy of formation = -0.215 eV/atom
energy = -5.946 eV per atom
ρ = 8.2 Mg/m³
D(E_F) = 2.58 states/eV/cell
crystal system = tetragonal
magnetic moment = 0.00 μB/cell

***

VASP calculation (GGA-PBE) on a relaxed structure of NbGa2Cu.

Cell: 2.955 2.955 7.008 Å, 90.00 90.00 90.00°
Positions (direct):
1 Nb 0.000 0.000 0.000
2 Ga 0.500 0.500 0.275
3 Ga 0.500 0.500 0.725
4 Cu 0.000 0.000 0.500

energy of formation = -0.108 eV/atom
energy = -5.163 eV per atom
ρ = 8.0 Mg/m³
D(E_F) = 1.84 states/eV/cell
crystal system = tetragonal
magnetic moment = 0.00 μB/cell